No. 1
14
Lattice="6.4773 0.0000 0.0000 0.0000 6.7172 0.0000 -2.6091 0.0000 8.3723" Properties=species:S:1:pos:R:3 comment="PBE KErGeS4, optimized geometry" sg="P2_1/m, No. 11" dft_energy_ev_per_atom=-5.06 mass_density_g_cm3=3.713 pbc="T T T"
K 0.4075 1.6793 3.6735
K 3.4607 5.0379 4.6988
Er -0.6752 1.6793 7.9501
Er 4.5434 5.0379 0.4222
Ge 1.2913 5.0379 1.4054
Ge 2.5769 1.6793 6.9669
S -2.0438 5.0379 7.6938
S -0.4464 5.0379 2.7477
S 1.1519 3.3831 6.6566
S 1.1519 6.6927 6.6566
S 2.7163 0.0245 1.7158
S 2.7163 3.3341 1.7158
S 4.3146 1.6793 5.6246
S 5.9120 1.6793 0.6785

=====

No. 2
8
Lattice="6.7509 0.0000 0.0000 0.0000 3.8849 0.0000 -2.2406 0.0000 6.4056" Properties=species:S:1:pos:R:3 comment="PBE ErPuNp2S4, optimized geometry" sg="P2/m, No. 10" dft_energy_ev_per_atom=-9.27 mass_density_g_cm3=10.018 pbc="T T T"
Er 0.0000 0.0000 0.0000
Pu -1.1203 1.9424 3.2028
Np 2.2551 0.0000 3.2028
Np 3.3754 1.9424 0.0000
S 1.1115 1.9424 1.5832
S -0.0028 0.0000 4.8196
S 4.5131 0.0000 1.5860
S 3.3988 1.9424 4.8224

=====

No. 3
7
Lattice="3.6095 -2.0882 0.0000 3.6095 2.0882 0.0000 -2.4094 0.0000 6.4620" Properties=species:S:1:pos:R:3 comment="PBE Ti2Ga2Fe3, optimized geometry" sg="C2/m, No. 12" dft_energy_ev_per_atom=-6.98 mass_density_g_cm3=6.865 pbc="T T T"
Ti -0.0005 0.0000 2.2869
Ti 4.8100 0.0000 4.1751
Ga 2.4058 0.0000 0.7279
Ga 2.4037 0.0000 5.7341
Fe 0.0001 0.0000 4.7273
Fe 2.4048 0.0000 3.2310
Fe 4.8094 0.0000 1.7347

=====

No. 4
8
Lattice="-2.0240 2.0240 9.2401 2.0240 -2.0240 9.2401 2.0240 2.0240 -9.2401" Properties=species:S:1:pos:R:3 comment="PBE Al2InTc, optimized geometry" sg="I-42d, No. 122" dft_energy_ev_per_atom=-4.80 mass_density_g_cm3=5.851 pbc="T T T"
Al 3.0360 0.8446 -2.3100
Al 0.8446 1.0120 2.3100
Al -1.0120 1.1794 6.9301
Al 1.1794 1.0120 11.5501
In 2.0240 0.0000 4.6200
In 0.0000 0.0000 9.2401
Tc 0.0000 0.0000 0.0000
Tc 0.0000 2.0240 4.6200

=====

No. 5
12
Lattice="2.5425 0.0000 0.0000 -1.2712 2.2019 0.0000 0.0000 0.0000 13.8844" Properties=species:S:1:pos:R:3 comment="PBE B5C7, optimized geometry" sg="P3m1, No. 156" dft_energy_ev_per_atom=-7.81 mass_density_g_cm3=2.951 relative_energy_ev_per_atom=0.098 pbc="T T T"
B 0.0000 0.0000 0.0000
B 0.0000 0.0000 1.6733
B 0.0000 1.4679 2.7231
B 0.0000 1.4679 10.5702
B 1.2712 0.7340 12.8147
C 0.0000 0.0000 6.8808
C 0.0000 0.0000 8.4591
C 0.0000 1.4679 4.3123
C 0.0000 1.4679 8.9477
C 1.2712 0.7340 4.8200
C 1.2712 0.7340 6.3878
C 1.2712 0.7340 11.2705